## ZrTaSnO6 (PBE-GGA)

Data for an optimized crystal structure of ZrTaSnO6.

a = 5.4125 Å, b = 5.4125 Å, c = 9.4343 Å
α = 90.00°, β = 90.00°, γ = 120.00°
Positions (direct):
Zr 0.3333 0.6667 0.2500
Zr 0.6667 0.3333 0.7500
Ta 0.3333 0.6667 0.7500
Ta 0.6667 0.3333 0.2500
Sn 0.0000 0.0000 0.0000
Sn 0.0000 0.0000 0.5000
O 0.0154 0.3603 0.6341
O 0.0154 0.6551 0.8659
O 0.3449 0.3603 0.8659
O 0.3449 0.9846 0.6341
O 0.3603 0.0154 0.1341
O 0.3603 0.3449 0.3659
O 0.6397 0.6551 0.6341
O 0.6397 0.9846 0.8659
O 0.6551 0.0154 0.3659
O 0.6551 0.6397 0.1341
O 0.9846 0.3449 0.1341
O 0.9846 0.6397 0.3659

E_form (uncorrected) = -22.4 eV/f.u.
DOS at the Fermi energy = 6.61 states/eV/cell

***

## CeBe4Ir (PBE-GGA)

Data for an optimized crystal structure of CeBe4Ir.

a = 4.7688 Å, b = 4.7688 Å, c = 4.7688 Å
α = 60.00°, β = 60.00°, γ = 60.00°
Positions (direct):
Ce 0.0000 0.0000 0.0000
Be 0.3790 0.3790 0.3790
Be 0.3790 0.3790 0.8630
Be 0.3790 0.8630 0.3790
Be 0.8630 0.3790 0.3790
Ir 0.7500 0.7500 0.7500

Energy of formation from the pure elements = -0.104 eV/atom
DOS at the Fermi energy = 6.91 states/eV/cell

***

## Tl3C4 (PBE-GGA)

Data for an optimized crystal structure of Tl3C4.

a = 7.3685 Å, b = 7.3685 Å, c = 2.8145 Å
α = 90.00°, β = 90.00°, γ = 120.00°
Positions (direct):
Tl 0.0000 0.5000 0.0000
Tl 0.5000 0.0000 0.0000
Tl 0.5000 0.5000 0.0000
C 0.0000 0.0000 0.2512
C 0.0000 0.0000 0.7488
C 0.3333 0.6667 0.5000
C 0.6667 0.3333 0.5000

Energy relative to the lowest polymorph listed for this composition = 0 meV per atom
Energy of formation from the pure elements = 1.875 eV/atom
DOS at the Fermi energy = 5.10 states/eV/cell

***

## NaTc2F (PBE-GGA)

Data for an optimized crystal structure of NaTc2F.

a = 6.1861 Å, b = 6.1861 Å, c = 6.1861 Å
α = 90.00°, β = 90.00°, γ = 90.00°
Positions (direct):
Na 0.0000 0.0000 0.0000
Na 0.0000 0.5000 0.5000
Na 0.5000 0.0000 0.5000
Na 0.5000 0.5000 0.0000
Tc 0.2500 0.2500 0.2500
Tc 0.2500 0.2500 0.7500
Tc 0.2500 0.7500 0.2500
Tc 0.2500 0.7500 0.7500
Tc 0.7500 0.2500 0.2500
Tc 0.7500 0.2500 0.7500
Tc 0.7500 0.7500 0.2500
Tc 0.7500 0.7500 0.7500
F 0.0000 0.0000 0.5000
F 0.0000 0.5000 0.0000
F 0.5000 0.0000 0.0000
F 0.5000 0.5000 0.5000

Energy relative to the lowest polymorph listed for this composition = 1554 meV per atom
E_form (uncorrected) = 5.7 eV/f.u.
DOS at the Fermi energy = 29.08 states/eV/cell

***

## Nd3Cd4 (PBE-GGA)

Data for an optimized crystal structure of Nd3Cd4.

a = 3.5299 Å, b = 5.0454 Å, c = 21.5868 Å
α = 90.00°, β = 90.00°, γ = 90.00°
Positions (direct):
Nd 0.0000 0.0000 0.0000
Nd 0.0000 0.5000 0.1990
Nd 0.0000 0.5000 0.8010
Nd 0.5000 0.0000 0.3010
Nd 0.5000 0.0000 0.6990
Nd 0.5000 0.5000 0.5000
Cd 0.0000 0.0000 0.4327
Cd 0.0000 0.0000 0.5673
Cd 0.0000 0.5000 0.3587
Cd 0.0000 0.5000 0.6414
Cd 0.5000 0.0000 0.1414
Cd 0.5000 0.0000 0.8586
Cd 0.5000 0.5000 0.0673
Cd 0.5000 0.5000 0.9327

Energy relative to the lowest polymorph listed for this composition = 0 meV per atom
Energy of formation from the pure elements = -0.296 eV/atom
DOS at the Fermi energy = 12.05 states/eV/cell

***

## LaTbNb (PBE-GGA)

Data for an optimized crystal structure of LaTbNb.

a = 3.5462 Å, b = 3.5462 Å, c = 13.6185 Å
α = 90.00°, β = 90.00°, γ = 90.00°
Positions (direct):
La 0.2500 0.2500 0.1011
La 0.7500 0.7500 0.8989
Tb 0.2500 0.2500 0.6934
Tb 0.7500 0.7500 0.3066
Nb 0.2500 0.2500 0.4537
Nb 0.7500 0.7500 0.5463

Energy of formation from the pure elements = 0.103 eV/atom
DOS at the Fermi energy = 8.35 states/eV/cell

***

## MgTa2Co (PBE-GGA)

Data for an optimized crystal structure of MgTa2Co.

a = 2.8918 Å, b = 2.8918 Å, c = 28.0121 Å
α = 90.00°, β = 90.00°, γ = 120.00°
Positions (direct):
Mg 0.0000 0.0000 0.0000
Mg 0.3333 0.6667 0.6667
Mg 0.6667 0.3333 0.3333
Ta 0.0000 0.0000 0.2398
Ta 0.0000 0.0000 0.7602
Ta 0.3333 0.6667 0.4269
Ta 0.3333 0.6667 0.9064
Ta 0.6667 0.3333 0.0936
Ta 0.6667 0.3333 0.5731
Co 0.0000 0.0000 0.5000
Co 0.3333 0.6667 0.1667
Co 0.6667 0.3333 0.8333

Energy of formation from the pure elements = 0.254 eV/atom
DOS at the Fermi energy = 12.51 states/eV/cell

***

## ErSbN2 (PBE-GGA)

Data for an optimized crystal structure of ErSbN2.

a = 3.5185 Å, b = 3.5185 Å, c = 19.1924 Å
α = 90.00°, β = 90.00°, γ = 120.00°
Positions (direct):
Er 0.0000 0.0000 0.0000
Er 0.3333 0.6667 0.6667
Er 0.6667 0.3333 0.3333
Sb 0.0000 0.0000 0.5000
Sb 0.3333 0.6667 0.1667
Sb 0.6667 0.3333 0.8333
N 0.0000 0.0000 0.3947
N 0.0000 0.0000 0.6053
N 0.3333 0.6667 0.0614
N 0.3333 0.6667 0.2719
N 0.6667 0.3333 0.7281
N 0.6667 0.3333 0.9386

E_form (uncorrected) = -1.5 eV/f.u.
DOS at the Fermi energy = 2.09 states/eV/cell

***

## Rh4PbO8 (PBE-GGA)

Data for an optimized crystal structure of Rh4PbO8.

a = 6.3458 Å, b = 6.3458 Å, c = 6.3458 Å
α = 60.00°, β = 60.00°, γ = 60.00°
Positions (direct):
Rh 0.3778 0.3778 0.3778
Rh 0.3778 0.3778 0.8666
Rh 0.3778 0.8666 0.3778
Rh 0.8666 0.3778 0.3778
Pb 0.0000 0.0000 0.0000
O 0.1478 0.1478 0.1478
O 0.1478 0.1478 0.5565
O 0.1478 0.5565 0.1478
O 0.1905 0.6032 0.6032
O 0.5565 0.1478 0.1478
O 0.6032 0.1905 0.6032
O 0.6032 0.6032 0.1905
O 0.6032 0.6032 0.6032

E_form (uncorrected) = -9.6 eV/f.u.
DOS at the Fermi energy = 10.59 states/eV/cell

***

## TbPr4Er3Te8 (PBE-GGA)

Data for an optimized crystal structure of TbPr4Er3Te8.

a = 9.0106 Å, b = 9.0106 Å, c = 9.0106 Å
α = 57.94°, β = 57.94°, γ = 57.94°
Positions (direct):
Tb 0.0000 0.0000 0.0000
Pr 0.0000 0.0000 0.5000
Pr 0.0000 0.5000 0.0000
Pr 0.5000 0.0000 0.0000
Pr 0.5000 0.5000 0.5000
Er 0.0000 0.5000 0.5000
Er 0.5000 0.0000 0.5000
Er 0.5000 0.5000 0.0000
Te 0.2456 0.2456 0.7420
Te 0.2456 0.7420 0.2456
Te 0.2561 0.2561 0.2561
Te 0.2580 0.7544 0.7544
Te 0.7420 0.2456 0.2456
Te 0.7439 0.7439 0.7439
Te 0.7544 0.2580 0.7544
Te 0.7544 0.7544 0.2580

E_form (uncorrected) = -21.5 eV/f.u.
DOS at the Fermi energy = 10.33 states/eV/cell

***

## SrLa2Sc (PBE-GGA)

Data for an optimized crystal structure of SrLa2Sc.

a = 3.7127 Å, b = 3.7127 Å, c = 36.6647 Å
α = 90.00°, β = 90.00°, γ = 120.00°
Positions (direct):
Sr 0.0000 0.0000 0.0000
Sr 0.3333 0.6667 0.6667
Sr 0.6667 0.3333 0.3333
La 0.0000 0.0000 0.2400
La 0.0000 0.0000 0.7600
La 0.3333 0.6667 0.4267
La 0.3333 0.6667 0.9067
La 0.6667 0.3333 0.0933
La 0.6667 0.3333 0.5733
Sc 0.0000 0.0000 0.5000
Sc 0.3333 0.6667 0.1667
Sc 0.6667 0.3333 0.8333

Energy relative to the lowest polymorph listed for this composition = 34 meV per atom
Energy of formation from the pure elements = 0.133 eV/atom
DOS at the Fermi energy = 16.21 states/eV/cell

***

## Zr2VMo (PBE-GGA)

Data for an optimized crystal structure of Zr2VMo.

a = 3.1177 Å, b = 3.1177 Å, c = 28.4997 Å
α = 90.00°, β = 90.00°, γ = 120.00°
Positions (direct):
Zr 0.0000 0.0000 0.0919
Zr 0.0000 0.0000 0.9081
Zr 0.3333 0.6667 0.5747
Zr 0.3333 0.6667 0.7586
Zr 0.6667 0.3333 0.2414
Zr 0.6667 0.3333 0.4253
V 0.0000 0.0000 0.0000
V 0.3333 0.6667 0.6667
V 0.6667 0.3333 0.3333
Mo 0.0000 0.0000 0.5000
Mo 0.3333 0.6667 0.1667
Mo 0.6667 0.3333 0.8333

Energy relative to the lowest polymorph listed for this composition = 531 meV per atom
Energy of formation from the pure elements = 0.618 eV/atom
DOS at the Fermi energy = 15.76 states/eV/cell

***

## ZrTa2In (PBE-GGA)

Data for an optimized crystal structure of ZrTa2In.

a = 4.3412 Å, b = 4.3412 Å, c = 8.5214 Å
α = 90.00°, β = 90.00°, γ = 90.00°
Positions (direct):
Zr 0.0000 0.0000 0.0000
Zr 0.5000 0.5000 0.5000
Ta 0.0000 0.0000 0.5000
Ta 0.0000 0.5000 0.2500
Ta 0.5000 0.0000 0.7500
Ta 0.5000 0.5000 0.0000
In 0.0000 0.5000 0.7500
In 0.5000 0.0000 0.2500

Energy of formation from the pure elements = 0.117 eV/atom
DOS at the Fermi energy = 9.93 states/eV/cell

***

## CaTb2Cl8 (PBE-GGA)

Data for an optimized crystal structure of CaTb2Cl8.

a = 8.6834 Å, b = 8.6834 Å, c = 7.1010 Å
α = 92.20°, β = 92.20°, γ = 46.24°
Positions (direct):
Ca 0.0000 0.0000 0.0000
Tb 0.1459 0.1459 0.4770
Tb 0.8541 0.8541 0.5230
Cl 0.1516 0.1516 0.8384
Cl 0.1901 0.6883 0.7219
Cl 0.2956 0.2956 0.3866
Cl 0.3117 0.8099 0.2781
Cl 0.6883 0.1901 0.7219
Cl 0.7044 0.7044 0.6134
Cl 0.8099 0.3117 0.2781
Cl 0.8484 0.8484 0.1616

Energy relative to the lowest polymorph listed for this composition = 114 meV per atom
E_form (uncorrected) = -23.8 eV/f.u.
DOS at the Fermi energy = 0.00 states/eV/cell

***

## KPmSn (PBE-GGA)

Data for an optimized crystal structure of KPmSn.

a = 5.5989 Å, b = 5.5998 Å, c = 8.1121 Å
α = 90.15°, β = 90.05°, γ = 90.01°
Positions (direct):
K 0.2503 0.2498 0.1254
K 0.7497 0.7502 0.8746
Pm 0.2498 0.7505 0.5000
Pm 0.7502 0.2495 0.5000
Sn 0.2506 0.2515 0.6839
Sn 0.7494 0.7485 0.3161

Energy of formation from the pure elements = -0.337 eV/atom
DOS at the Fermi energy = 2.19 states/eV/cell

***

## Ba2Na2Pd (PBE-GGA)

Data for an optimized crystal structure of Ba2Na2Pd.

a = 14.2991 Å, b = 14.2991 Å, c = 14.2991 Å
α = 157.89°, β = 157.89°, γ = 31.47°
Positions (direct):
Ba 0.0678 0.3178 0.7500
Ba 0.3178 0.0678 0.2500
Ba 0.6822 0.9322 0.7500
Ba 0.9322 0.6822 0.2500
Na 0.2013 0.4513 0.7500
Na 0.4513 0.2013 0.2500
Na 0.5487 0.7987 0.7500
Na 0.7987 0.5487 0.2500
Pd 0.1250 0.8750 0.2500
Pd 0.8750 0.1250 0.7500

Energy relative to the lowest polymorph listed for this composition = 0 meV per atom
Energy of formation from the pure elements = -0.151 eV/atom
DOS at the Fermi energy = 8.20 states/eV/cell

***

## Li4Tl5Cd (PBE-GGA)

Data for an optimized crystal structure of Li4Tl5Cd.

a = 3.6085 Å, b = 3.6085 Å, c = 17.2449 Å
α = 90.00°, β = 90.00°, γ = 90.00°
Positions (direct):
Li 0.0000 0.0000 0.0956
Li 0.0000 0.0000 0.2892
Li 0.0000 0.0000 0.7108
Li 0.0000 0.0000 0.9044
Tl 0.5000 0.5000 0.0000
Tl 0.5000 0.5000 0.1923
Tl 0.5000 0.5000 0.3885
Tl 0.5000 0.5000 0.6115
Tl 0.5000 0.5000 0.8077
Cd 0.0000 0.0000 0.5000

Energy of formation from the pure elements = -0.162 eV/atom
DOS at the Fermi energy = 4.01 states/eV/cell

***

## Y2Tm2Ge3 (PBE-GGA)

Data for an optimized crystal structure of Y2Tm2Ge3.

a = 10.5020 Å, b = 4.5643 Å, c = 7.9899 Å
α = 90.00°, β = 101.90°, γ = 90.00°
Positions (direct):
Y 0.1288 0.0000 0.3512
Y 0.3712 0.5000 0.6488
Y 0.6288 0.5000 0.3512
Y 0.8712 0.0000 0.6488
Tm 0.1391 0.5000 0.9191
Tm 0.3609 0.0000 0.0809
Tm 0.6391 0.0000 0.9191
Tm 0.8609 0.5000 0.0809
Ge 0.0000 0.0000 0.0000
Ge 0.2039 0.0000 0.7217
Ge 0.2961 0.5000 0.2783
Ge 0.5000 0.5000 0.0000
Ge 0.7039 0.5000 0.7217
Ge 0.7961 0.0000 0.2783

Energy of formation from the pure elements = -0.650 eV/atom
DOS at the Fermi energy = 7.08 states/eV/cell

***

## Nb2PS (PBE-GGA)

Data for an optimized crystal structure of Nb2PS.

a = 6.2320 Å, b = 6.2320 Å, c = 6.2320 Å
α = 90.00°, β = 90.00°, γ = 90.00°
Positions (direct):
Nb 0.2500 0.2500 0.2500
Nb 0.2500 0.2500 0.7500
Nb 0.2500 0.7500 0.2500
Nb 0.2500 0.7500 0.7500
Nb 0.7500 0.2500 0.2500
Nb 0.7500 0.2500 0.7500
Nb 0.7500 0.7500 0.2500
Nb 0.7500 0.7500 0.7500
P 0.0000 0.0000 0.0000
P 0.0000 0.5000 0.5000
P 0.5000 0.0000 0.5000
P 0.5000 0.5000 0.0000
S 0.0000 0.0000 0.5000
S 0.0000 0.5000 0.0000
S 0.5000 0.0000 0.0000
S 0.5000 0.5000 0.5000

Energy relative to the lowest polymorph listed for this composition = 146 meV per atom
E_form (uncorrected) = -2.5 eV/f.u.
DOS at the Fermi energy = 23.62 states/eV/cell

***

## NaSr2Bi (PBE-GGA)

Data for an optimized crystal structure of NaSr2Bi.

a = 5.0524 Å, b = 5.0524 Å, c = 25.7847 Å
α = 90.00°, β = 90.00°, γ = 120.00°
Positions (direct):
Na 0.0000 0.0000 0.0000
Na 0.3333 0.6667 0.6667
Na 0.6667 0.3333 0.3333
Sr 0.0000 0.0000 0.5606
Sr 0.0000 0.0000 0.7654
Sr 0.3333 0.6667 0.2272
Sr 0.3333 0.6667 0.4320
Sr 0.6667 0.3333 0.0987
Sr 0.6667 0.3333 0.8939
Bi 0.0000 0.0000 0.1609
Bi 0.3333 0.6667 0.8275
Bi 0.6667 0.3333 0.4942

Energy of formation from the pure elements = -0.441 eV/atom
DOS at the Fermi energy = 2.80 states/eV/cell

***

## Li7Mg2Sn (PBE-GGA)

Data for an optimized crystal structure of Li7Mg2Sn.

a = 4.7495 Å, b = 4.7495 Å, c = 10.0786 Å
α = 90.00°, β = 90.00°, γ = 120.00°
Positions (direct):
Li 0.0000 0.0000 0.0000
Li 0.0000 0.0000 0.2249
Li 0.0000 0.0000 0.4704
Li 0.3333 0.6667 0.2547
Li 0.3333 0.6667 0.9706
Li 0.6667 0.3333 0.4252
Li 0.6667 0.3333 0.8223
Mg 0.0000 0.0000 0.7320
Mg 0.3333 0.6667 0.5982
Sn 0.6667 0.3333 0.1220

Energy relative to the lowest polymorph listed for this composition = 0 meV per atom
Energy of formation from the pure elements = -0.099 eV/atom
DOS at the Fermi energy = 3.04 states/eV/cell

***

## TmPaPtRh (PBE-GGA)

Data for an optimized crystal structure of TmPaPtRh.

a = 6.9235 Å, b = 6.9235 Å, c = 6.9235 Å
α = 90.00°, β = 90.00°, γ = 90.00°
Positions (direct):
Tm 0.0000 0.0000 0.0000
Tm 0.0000 0.5000 0.5000
Tm 0.5000 0.0000 0.5000
Tm 0.5000 0.5000 0.0000
Pa 0.0000 0.0000 0.5000
Pa 0.0000 0.5000 0.0000
Pa 0.5000 0.0000 0.0000
Pa 0.5000 0.5000 0.5000
Pt 0.2500 0.2500 0.7500
Pt 0.2500 0.7500 0.2500
Pt 0.7500 0.2500 0.2500
Pt 0.7500 0.7500 0.7500
Rh 0.2500 0.2500 0.2500
Rh 0.2500 0.7500 0.7500
Rh 0.7500 0.2500 0.7500
Rh 0.7500 0.7500 0.2500

Energy relative to the lowest polymorph listed for this composition = 202 meV per atom
Energy of formation from the pure elements = -0.843 eV/atom
DOS at the Fermi energy = 23.59 states/eV/cell

***

## TaIr2W (PBE-GGA)

Data for an optimized crystal structure of TaIr2W.

a = 2.8294 Å, b = 3.9103 Å, c = 5.6478 Å
α = 90.00°, β = 90.00°, γ = 90.00°
Positions (direct):
Ta 0.0000 0.0000 0.0000
Ir 0.5000 0.5000 0.2550
Ir 0.5000 0.5000 0.7450
W 0.0000 0.0000 0.5000

Energy relative to the lowest polymorph listed for this composition = 16 meV per atom
Energy of formation from the pure elements = -0.442 eV/atom
DOS at the Fermi energy = 2.97 states/eV/cell

***

## HoUFe4 (PBE-GGA)

Data for an optimized crystal structure of HoUFe4.

a = 5.0620 Å, b = 5.0620 Å, c = 5.0620 Å
α = 60.00°, β = 60.00°, γ = 60.00°
Positions (direct):
Ho 0.0000 0.0000 0.0000
U 0.2500 0.2500 0.2500
Fe 0.1252 0.6249 0.6249
Fe 0.6249 0.1252 0.6249
Fe 0.6249 0.6249 0.1252
Fe 0.6249 0.6249 0.6249

Energy relative to the lowest polymorph listed for this composition = 0 meV per atom
Energy of formation from the pure elements = -0.023 eV/atom
DOS at the Fermi energy = 11.39 states/eV/cell

***

## Hf5Ga2H (PBE-GGA)

Data for an optimized crystal structure of Hf5Ga2H.

a = 6.2132 Å, b = 6.2132 Å, c = 7.8811 Å
α = 90.00°, β = 90.00°, γ = 90.00°
Positions (direct):
Hf 0.0000 0.0000 0.0000
Hf 0.2473 0.2473 0.7464
Hf 0.2473 0.7527 0.7464
Hf 0.2527 0.2527 0.2464
Hf 0.2527 0.7473 0.2464
Hf 0.5000 0.5000 0.5000
Hf 0.7473 0.2527 0.2464
Hf 0.7473 0.7473 0.2464
Hf 0.7527 0.2473 0.7464
Hf 0.7527 0.7527 0.7464
Ga 0.0000 0.5000 0.4954
Ga 0.0000 0.5000 0.9954
Ga 0.5000 0.0000 0.4954
Ga 0.5000 0.0000 0.9954
H 0.0000 0.0000 0.2654
H 0.5000 0.5000 0.7654

Total energy = -7.52 eV/atom
DOS at the Fermi energy = 13.18 states/eV/cell

***

| no. | total magnetic moment (μB/cell) |
| --- | --- |
| 1 | 0.00 |
| 2 | 0.93 |
| 3 | 0.03 |
| 4 | 0.03 |
| 5 | 0.00 |
| 6 | 0.00 |
| 7 | 1.37 |
| 8 | 0.00 |
| 9 | 0.00 |
| 10 | 0.00 |
| 11 | 0.00 |
| 12 | 3.93 |
| 13 | 0.00 |
| 14 | 0.00 |
| 15 | 0.00 |
| 16 | 0.00 |
| 17 | 0.00 |
| 18 | 0.00 |
| 19 | 0.00 |
| 20 | 0.00 |
| 21 | 0.00 |
| 22 | 0.01 |
| 23 | 0.00 |
| 24 | 4.59 |
| 25 | 0.00 |